(1)
! TbNd2Sm3Dy6, relaxed, DFT PBE; values from VASP
&SYSTEM
  ibrav = 0, nat = 12, ntyp = 4
/
ATOMIC_SPECIES
Tb 158.93 Tb.upf
Dy 162.50 Dy.upf
Sm 150.36 Sm.upf
Nd 144.24 Nd.upf
CELL_PARAMETERS angstrom
-1.910 1.691 5.672
2.517 -5.618 -0.885
10.374 5.687 0.664
ATOMIC_POSITIONS angstrom
Tb 0.000 0.000 0.000
Dy 3.055 -1.525 3.762
Sm 4.015 3.316 4.911
Nd 1.041 -3.180 1.302
Sm 5.491 0.880 2.725
Nd -0.433 -0.746 3.485
Sm 6.966 -1.556 0.540
Dy 7.497 2.537 5.178
Dy 3.485 -0.776 0.273
Dy 2.011 1.657 2.455
Dy 7.926 3.286 1.688
Dy 8.970 0.104 2.995
! * crystal system: monoclinic
! * E: -55.78 eV/f.u.
! * energy of formation: 0.013 eV/atom

(2)
! Ac4GaCoI2, relaxed, DFT PBE; values from VASP
&SYSTEM
  ibrav = 0, nat = 8, ntyp = 4
/
ATOMIC_SPECIES
I 126.90 I.upf
Ac 227.00 Ac.upf
Ga 69.72 Ga.upf
Co 58.93 Co.upf
CELL_PARAMETERS angstrom
-4.119 0.870 1.311
0.125 -6.417 4.648
2.989 6.731 4.922
ATOMIC_POSITIONS angstrom
I -0.565 3.800 3.117
Ac 0.467 0.883 8.292
I 1.557 0.157 4.785
Ga -1.997 -2.773 2.980
Co 0.000 0.000 0.000
Ac 0.656 -3.651 4.482
Ac 2.457 3.965 5.088
Ac -1.472 0.301 2.589
! * crystal system: monoclinic
! * E: -34.97 eV/f.u.

(3)
! Li4MnIr, relaxed, DFT PBE; values from VASP
&SYSTEM
  ibrav = 0, nat = 6, ntyp = 3
/
ATOMIC_SPECIES
Li 6.94 Li.upf
Mn 54.94 Mn.upf
Ir 192.22 Ir.upf
CELL_PARAMETERS angstrom
-0.421 -0.709 4.710
-0.602 3.727 2.935
-4.213 0.690 2.155
ATOMIC_POSITIONS angstrom
Li -1.954 1.384 3.658
Mn -3.927 2.781 7.350
Li -2.260 3.273 5.146
Ir 0.000 0.000 0.000
Li -4.090 1.734 4.751
Li -2.168 1.024 6.046
! * crystal system: cubic
! * E: -24.76 eV/f.u.
! * energy of formation: 0.154 eV/atom

(4)
! Pr8Nd5Tm, relaxed, DFT PBE; values from VASP
&SYSTEM
  ibrav = 0, nat = 14, ntyp = 3
/
ATOMIC_SPECIES
Nd 144.24 Nd.upf
Pr 140.91 Pr.upf
Tm 168.93 Tm.upf
CELL_PARAMETERS angstrom
-3.530 0.388 7.948
-2.391 -7.332 -4.037
8.648 0.264 0.960
ATOMIC_POSITIONS angstrom
Nd 2.559 0.326 4.454
Nd -3.634 -6.195 3.471
Pr 2.204 -0.207 7.635
Pr -1.759 -5.278 -1.542
Nd 0.276 -2.248 -0.924
Pr -1.023 -4.148 1.978
Pr 3.051 -6.151 1.636
Nd 1.650 -4.534 4.402
Nd 7.161 -0.384 2.791
Pr 4.685 -2.413 4.519
Tm 4.408 -3.371 0.688
Pr 1.957 -1.724 2.011
Pr 2.075 -5.258 -1.894
Pr -0.283 -1.541 5.137
! * crystal system: tetragonal
! * E: -63.24 eV/f.u.
! * energy of formation: 0.236 eV/atom

no.,DOS(E_F) (states/eV per cell)
1,14.56
2,5.22
3,4.68
4,21.13